one | Compound: Re2HSe
Source: Alexandria
Functional: PBE-GGA
Structure: relaxed

Summary:
Magnetic moment = 0.000 μB per formula unit

Cell and atoms, written as POSCAR:
```
Re2HSe
1.0
-2.376 2.376 4.992
2.376 -2.376 4.992
2.376 2.376 -4.992
Re H Se
4 2 2
Direct
0.375 0.241 0.366
0.759 0.125 0.134
0.875 0.009 0.634
0.991 0.625 0.866
0.000 0.000 0.000
0.750 0.250 0.500
0.250 0.750 0.500
0.500 0.500 0.000
```

---

two | Compound: Re2HSe
Source: Alexandria
Functional: PBE-GGA
Structure: relaxed

Summary:
Magnetic moment = 0.000 μB per formula unit

Cell and atoms, written as POSCAR:
```
Re2HSe
1.0
0.000 2.933 2.933
2.933 0.000 2.933
2.933 2.933 0.000
Re H Se
2 1 1
Direct
0.250 0.250 0.250
0.750 0.750 0.750
0.000 0.000 0.000
0.500 0.500 0.500
```

---

The most stable arrangement is one, and the next structure is 442 meV/atom less stable.